No. 1
Entry from Alexandria: a crystal of MnAl3In relaxed with PBEsol (SCAN).

Uncorrected energy ... -13.96 eV per atom
Density of states at the Fermi level ... 0.570 states/eV/atom
DFT formation energy ... 1022 meV/atom
Space group ... Pm-3m

Unit cell a=5.1038 b=5.1038 c=5.1038 alpha=90.00 beta=90.00 gamma=90.00
Closest atoms and distances in Å follow each position.
Sites, in units of the cell vectors:
1 Mn 0.5000 0.5000 0.5000  12 Al 3.61
2 Al 0.0000 0.5000 0.0000  2 In 2.55
3 Al 0.0000 0.0000 0.5000  2 In 2.55
4 Al 0.5000 0.0000 0.0000  2 In 2.55
5 In 0.0000 0.0000 0.0000  6 Al 2.55

---

No. 2
Entry from Alexandria: a crystal of MnAlIn2Te relaxed with PBEsol (SCAN).

Uncorrected energy ... -25.53 eV per atom
Density of states at the Fermi level ... 0.470 states/eV/atom
Formation energy without anion corrections ... 477 meV/atom
Space group ... P4/mmm

Unit cell a=5.1753 b=5.1753 c=5.4251 alpha=90.00 beta=90.00 gamma=90.00
Closest atoms and distances in Å follow each position.
Sites, in units of the cell vectors:
1 Te 0.0000 0.0000 0.5000  2 Al 2.71
2 Al 0.0000 0.0000 0.0000  4 In 2.59, 2 Te 2.71
3 Mn 0.5000 0.5000 0.5000  4 Te 3.66, 8 In 3.75
4 In 0.0000 0.5000 0.0000  2 Al 2.59
5 In 0.5000 0.0000 0.0000  2 Al 2.59

---

No. 3
Entry from Alexandria: a crystal of AlInMo2 relaxed with PBEsol (SCAN).

Uncorrected energy ... -27.59 eV per atom
Density of states at the Fermi level ... 0.620 states/eV/atom
DFT formation energy ... 136 meV/atom
ΔE to the lowest computed polymorph ... 0 meV per atom
Space group ... P4/mmm

Unit cell a=3.3647 b=3.3647 c=5.8832 alpha=90.00 beta=90.00 gamma=90.00
Closest atoms and distances in Å follow each position.
Sites, in units of the cell vectors:
1 Mo 0.0000 0.0000 0.7951  1 Mo 2.41, 4 Al 2.67
2 Mo 0.0000 0.0000 0.2049  1 Mo 2.41, 4 Al 2.67
3 Al 0.5000 0.5000 0.0000  8 Mo 2.67, 2 In 2.94
4 In 0.5000 0.5000 0.5000  2 Al 2.94, 8 Mo 2.95

---

No. 4
Entry from Alexandria: a crystal of AlInMo2 relaxed with PBEsol (SCAN).

Uncorrected energy ... -27.50 eV per atom
Density of states at the Fermi level ... 0.707 states/eV/atom
DFT formation energy ... 231 meV/atom
ΔE to the lowest computed polymorph ... 96 meV per atom
Space group ... Cmmm

Unit cell a=2.7751 b=5.0874 c=5.0874 alpha=114.44 beta=90.00 gamma=90.00
Closest atoms and distances in Å follow each position.
Sites, in units of the cell vectors:
1 Mo 0.0000 0.5000 0.0000  4 Mo 2.75-2.78, 4 In 2.90, 4 Al 2.90
2 Mo 0.0000 0.0000 0.5000  4 Mo 2.75-2.78, 4 Al 2.90, 4 In 2.90
3 Al 0.5000 0.0000 0.0000  2 In 2.75, 2 Al 2.78, 8 Mo 2.90
4 In 0.5000 0.5000 0.5000  2 Al 2.75, 2 In 2.78, 8 Mo 2.90

---

No. 5
Entry from Alexandria: a crystal of AlInTeMo2 relaxed with PBEsol (SCAN).

Uncorrected energy ... -27.89 eV per atom
Density of states at the Fermi level ... 0.677 states/eV/atom
Formation energy without anion corrections ... 1737 meV/atom
Space group ... P4/mmm

Unit cell a=4.9509 b=4.9509 c=5.3827 alpha=90.00 beta=90.00 gamma=90.00
Closest atoms and distances in Å follow each position.
Sites, in units of the cell vectors:
1 Mo 0.0000 0.5000 0.0000  2 Te 2.48
2 Mo 0.5000 0.0000 0.0000  2 Te 2.48
3 Te 0.0000 0.0000 0.0000  4 Mo 2.48, 2 In 2.69
4 Al 0.5000 0.5000 0.5000  4 In 3.50, 8 Mo 3.66
5 In 0.0000 0.0000 0.5000  2 Te 2.69

---

No. 6
Entry from Alexandria: a crystal of AlIn2N3 relaxed with PBEsol (SCAN).

Uncorrected energy ... -17.66 eV per atom
Formation energy without anion corrections ... -594 meV/atom
Space group ... Cmc2_1

Unit cell a=5.4464 b=5.8643 c=5.8781 alpha=119.92 beta=90.00 gamma=90.00
Closest atoms and distances in Å follow each position.
Sites, in units of the cell vectors:
1 Al 0.9893 0.3408 0.0000  4 N 1.89-1.91
2 Al 0.4893 0.6592 0.0000  4 N 1.89-1.91
3 In 0.9873 0.9885 0.3240  4 N 2.16-2.17
4 In 0.9873 0.6646 0.6760  4 N 2.16-2.17
5 In 0.4873 0.0115 0.6760  4 N 2.16-2.17
6 In 0.4873 0.3354 0.3240  4 N 2.16-2.17
7 N 0.3849 0.9703 0.3032  1 Al 1.89
8 N 0.3849 0.6671 0.6968  1 Al 1.89
9 N 0.8849 0.0297 0.6968  1 Al 1.89
10 N 0.8849 0.3329 0.3032  1 Al 1.89
11 N 0.3384 0.3673 0.0000  2 Al 1.90-1.91
12 N 0.8384 0.6327 0.0000  2 Al 1.90-1.91